DFT (PBE) results for a geometry-optimized Ti3Pt2Rh structure.

The formation energy is -0.502 eV/atom. The total energy is -92.26 eV for the cell shown. The offset from the most stable computed form comes out at 346 meV per atom. The total magnetic moment is 0.00 μB per formula unit.

It has space group Immm (No. 71), with a = 2.782 Å, b = 4.774 Å, c = 14.910 Å, α = 90.00°, β = 90.00° and γ = 90.00°. The distinct sites, in fractional coordinates, are Ti at (0.000, 0.000, 0.000), Ti at (0.000, 0.500, 0.173), Pt at (0.000, 0.500, 0.346) and Rh at (0.000, 0.500, 0.000).